Below is a relaxed structure of MnMoH2SeO7, with properties calculated at the PBE+U level.

Unit cell a=5.122 b=6.847 c=9.183 alpha=92.12 beta=95.87 gamma=109.35
Site moments in Bohr magnetons follow the coordinates.
Element x y z (fractional)
Mn 0.000 0.000 0.000  4.65
Mn 0.500 0.500 0.500  4.63
Mo 0.204 0.909 0.601  0.12
Mo 0.796 0.091 0.399  0.12
H 0.613 0.628 0.867  0.00
H 0.387 0.372 0.133  0.00
H 0.467 0.732 0.987  0.00
H 0.533 0.268 0.013  0.00
Se 0.159 0.693 0.246  0.01
Se 0.841 0.307 0.754  0.01
O 0.643 0.733 0.950  0.01
O 0.357 0.267 0.050  0.01
O 0.228 0.785 0.080  0.01
O 0.772 0.215 0.920  0.01
O 0.350 0.533 0.275  0.01
O 0.650 0.467 0.725  0.01
O 0.379 0.914 0.377  0.00
O 0.621 0.086 0.623  0.00
O 0.260 0.667 0.607  -0.01
O 0.740 0.333 0.393  -0.01
O 0.845 0.813 0.492  0.00
O 0.155 0.187 0.508  0.00
O 0.140 0.968 0.779  -0.01
O 0.860 0.032 0.221  -0.01

## Properties
* energy: -150.202 eV per cell
* SG: P-1 (2)
* V: 12.558 A^3/atom
* Fermi-level density of states: 0.00 states/eV/cell